[1]
This record from the Alexandria database describes CeAu2Br8 after structural relaxation. The functional is PBE.

Structure (POSCAR):
```
CeAu2Br8
1.0
7.409 -0.091 -0.078
0.858 7.627 0.557
0.858 1.732 7.448
Au Ce Br
2 1 8
Cartesian
2.204 2.151 1.840
6.921 7.116 6.087
0.000 0.000 0.000
2.710 3.941 3.371
6.348 2.041 5.267
2.778 3.748 6.728
6.012 1.674 1.432
3.114 7.594 6.495
2.778 7.227 2.660
6.415 5.327 4.557
6.348 5.520 1.200
```

E_form (uncorrected): -0.661 eV/atom
uncorrected energy: -33.14 eV per cell
E above lowest polymorph: 0.073 eV/atom
V: 37.69 Å³/atom
DOS at the Fermi energy: 5.43 states/eV per cell


[2]
This record from the Alexandria database describes CeAu2Br8 after structural relaxation. The functional is PBE.

Structure (POSCAR):
```
CeAu2Br8
1.0
-6.185 4.586 -0.887
-4.345 -1.543 4.950
-0.582 4.966 8.582
Br Au Ce
8 2 1
Cartesian
-6.108 3.835 10.941
-8.065 6.972 7.884
-3.047 1.037 4.761
-5.004 4.174 1.704
-9.067 6.532 11.567
-5.966 4.196 5.138
-2.045 1.478 1.078
-5.146 3.813 7.508
-7.139 4.880 2.749
-3.973 3.130 9.896
0.000 0.000 0.000
```

E_form (uncorrected): -0.734 eV/atom
uncorrected energy: -33.95 eV per cell
E above lowest polymorph: 0.000 eV/atom
V: 37.43 Å³/atom
DOS at the Fermi energy: 3.90 states/eV per cell


[3]
This record from the Alexandria database describes Ce6Ir2AuBr3 after structural relaxation. The functional is PBE.

Structure (POSCAR):
```
Ce6Ir2AuBr3
1.0
-6.329 -2.638 2.339
5.931 -0.646 4.111
-1.418 7.725 1.129
Ce Au Br Ir
6 1 3 2
Cartesian
0.731 4.009 6.080
1.770 1.134 2.123
-3.587 3.307 5.456
-2.548 0.432 1.498
-1.243 5.221 2.730
-0.574 -0.780 4.848
0.000 0.000 0.000
-0.909 2.221 3.789
-5.040 1.549 3.192
3.223 2.892 4.386
-2.246 -1.975 2.929
1.848 -1.309 3.521
```

E_form (uncorrected): -0.983 eV/atom
uncorrected energy: -73.42 eV per cell
V: 28.64 Å³/atom
DOS at the Fermi energy: 39.02 states/eV per cell